A relaxed structure of NaLa2CrO5. Source: Alexandria via LeMat-Bulk, functional GGA+U.

a = 5.742 Å, b = 6.923 Å, c = 6.923 Å
α = 90.00°, β = 90.00°, γ = 90.00°
Fractional coordinates of all 18 atoms:
La 0.500 0.320 0.820
O 0.764 0.133 0.633
O 0.236 0.633 0.867
La 0.500 0.180 0.320
Cr 0.000 0.000 0.500
La 0.500 0.680 0.180
O 0.500 0.000 0.000
O 0.764 0.633 0.867
O 0.236 0.367 0.133
Na 0.000 0.000 0.000
Na 0.000 0.500 0.500
O 0.764 0.367 0.133
Cr 0.000 0.500 0.000
O 0.764 0.867 0.367
O 0.236 0.133 0.633
O 0.500 0.500 0.500
La 0.500 0.820 0.680
O 0.236 0.867 0.367

Output
Total magnetization ... 0.996 μB per formula unit
Total energy ... -7.2544 eV/atom
D(E_F) ... 0.000 states/eV/atom